[1]
First-principles (PBE) data for Cd2CuHPd after structural relaxation, as listed in the Alexandria database.

abc: 4.6731 4.6731 3.3202
angles: 90.00 90.00 90.00
Fractional positions:
Cd: 0.0000 0.5000 0.0000
Cd: 0.5000 0.0000 0.0000
Cu: 0.0000 0.0000 0.5000
H: 0.0000 0.0000 0.0000
Pd: 0.5000 0.5000 0.5000

Values from the calculation:
SG: P4/mmm, No. 123
M_tot: 0.00 Bohr magnetons per cell
offset from the most stable computed form: 0 meV per atom
VASP energy: -14.6 eV/cell

---

[2]
First-principles (PBE) data for CdCuHPd2 after structural relaxation, as listed in the Alexandria database.

abc: 4.0969 4.0969 3.8708
angles: 90.00 90.00 90.00
Fractional positions:
Cd: 0.0000 0.0000 0.0000
Cu: 0.5000 0.5000 0.0000
H: 0.5000 0.5000 0.5000
Pd: 0.0000 0.5000 0.5000
Pd: 0.5000 0.0000 0.5000

Values from the calculation:
SG: P4/mmm, No. 123
M_tot: 0.00 Bohr magnetons per cell
offset from the most stable computed form: 0 meV per atom
VASP energy: -19.9 eV/cell

---

[3]
First-principles (PBE) data for CdCuHPd2 after structural relaxation, as listed in the Alexandria database.

abc: 3.9670 3.9670 4.2127
angles: 90.00 90.00 90.00
Fractional positions:
Cd: 0.0000 0.0000 0.0000
Cu: 0.5000 0.5000 0.0000
H: 0.0000 0.0000 0.5000
Pd: 0.0000 0.5000 0.5000
Pd: 0.5000 0.0000 0.5000

Values from the calculation:
SG: P4/mmm, No. 123
M_tot: 0.00 Bohr magnetons per cell
offset from the most stable computed form: 135 meV per atom
VASP energy: -19.2 eV/cell

---

[4]
First-principles (PBE) data for Cd2CuHPd after structural relaxation, as listed in the Alexandria database.

abc: 4.6768 4.6768 3.4031
angles: 90.00 90.00 90.00
Fractional positions:
Cd: 0.0000 0.5000 0.0000
Cd: 0.5000 0.0000 0.0000
Cu: 0.0000 0.0000 0.5000
H: 0.5000 0.5000 0.0000
Pd: 0.5000 0.5000 0.5000

Values from the calculation:
SG: P4/mmm, No. 123
M_tot: 0.00 Bohr magnetons per cell
offset from the most stable computed form: 31 meV per atom
VASP energy: -14.4 eV/cell

---

[5]
First-principles (PBE) data for CdCu2HPt after structural relaxation, as listed in the Alexandria database.

abc: 4.0778 4.0778 3.7712
angles: 90.00 90.00 90.00
Fractional positions:
Cd: 0.0000 0.0000 0.0000
Cu: 0.0000 0.5000 0.5000
Cu: 0.5000 0.0000 0.5000
H: 0.5000 0.5000 0.5000
Pt: 0.5000 0.5000 0.0000

Values from the calculation:
SG: P4/mmm, No. 123
M_tot: 0.00 Bohr magnetons per cell
offset from the most stable computed form: 0 meV per atom
VASP energy: -18.8 eV/cell

---

[6]
First-principles (PBE) data for Cd2CuHPt after structural relaxation, as listed in the Alexandria database.

abc: 4.6343 4.6343 3.4893
angles: 90.00 90.00 90.00
Fractional positions:
Cd: 0.0000 0.5000 0.0000
Cd: 0.5000 0.0000 0.0000
Cu: 0.0000 0.0000 0.5000
H: 0.5000 0.5000 0.0000
Pt: 0.5000 0.5000 0.5000

Values from the calculation:
SG: P4/mmm, No. 123
M_tot: 0.00 Bohr magnetons per cell
offset from the most stable computed form: 42 meV per atom
VASP energy: -15.1 eV/cell

---

[7]
First-principles (PBE) data for Cd2CuHPt after structural relaxation, as listed in the Alexandria database.

abc: 4.7424 4.7424 3.2402
angles: 90.00 90.00 90.00
Fractional positions:
Cd: 0.0000 0.5000 0.0000
Cd: 0.5000 0.0000 0.0000
Cu: 0.0000 0.0000 0.5000
H: 0.0000 0.0000 0.0000
Pt: 0.5000 0.5000 0.5000

Values from the calculation:
SG: P4/mmm, No. 123
M_tot: 0.00 Bohr magnetons per cell
offset from the most stable computed form: 0 meV per atom
VASP energy: -15.3 eV/cell

---

[8]
First-principles (PBE) data for CdCu2HPt after structural relaxation, as listed in the Alexandria database.

abc: 3.8686 3.8686 4.2104
angles: 90.00 90.00 90.00
Fractional positions:
Cd: 0.0000 0.0000 0.0000
Cu: 0.0000 0.5000 0.5000
Cu: 0.5000 0.0000 0.5000
H: 0.0000 0.0000 0.5000
Pt: 0.5000 0.5000 0.0000

Values from the calculation:
SG: P4/mmm, No. 123
M_tot: 0.00 Bohr magnetons per cell
offset from the most stable computed form: 121 meV per atom
VASP energy: -18.2 eV/cell

---

[9]
First-principles (PBE) data for Rb2CdCu2H6 after structural relaxation, as listed in the Alexandria database.

abc: 5.8005 5.8005 6.4756
angles: 115.88 115.88 59.99
Fractional positions:
Rb: 0.2247 0.2247 0.1750
Rb: 0.7753 0.7753 0.8250
Cd: 0.0000 0.0000 0.5000
Cu: 0.4198 0.4198 0.7559
Cu: 0.5802 0.5802 0.2441
H: 0.2444 0.2444 0.7178
H: 0.2469 0.7373 0.7298
H: 0.2627 0.7531 0.2702
H: 0.7373 0.2469 0.7298
H: 0.7531 0.2627 0.2702
H: 0.7556 0.7556 0.2822

Values from the calculation:
SG: C2/m, No. 12
M_tot: 0.00 Bohr magnetons per cell
VASP energy: -30.9 eV/cell

---

[10]
First-principles (PBE) data for Rb2CdCuH6 after structural relaxation, as listed in the Alexandria database.

abc: 6.0512 6.0512 6.0512
angles: 123.26 123.26 84.44
Fractional positions:
Rb: 0.2500 0.7500 0.5000
Rb: 0.7500 0.2500 0.5000
Cd: 0.0000 0.0000 0.0000
Cu: 0.5000 0.5000 0.0000
H: 0.2006 0.2006 0.0000
H: 0.2980 0.2980 0.5959
H: 0.2980 0.7020 0.0000
H: 0.7020 0.2980 0.0000
H: 0.7020 0.7020 0.4041
H: 0.7994 0.7994 0.0000

Values from the calculation:
SG: I4/mmm, No. 139
M_tot: 0.00 Bohr magnetons per cell
VASP energy: -27.0 eV/cell

---

[11]
First-principles (PBE) data for CdCuHRh2 after structural relaxation, as listed in the Alexandria database.

abc: 3.8958 3.8958 4.2141
angles: 90.00 90.00 90.00
Fractional positions:
Cd: 0.0000 0.0000 0.0000
Cu: 0.5000 0.5000 0.0000
H: 0.0000 0.0000 0.5000
Rh: 0.0000 0.5000 0.5000
Rh: 0.5000 0.0000 0.5000

Values from the calculation:
SG: P4/mmm, No. 123
M_tot: 0.37 Bohr magnetons per cell
offset from the most stable computed form: 106 meV per atom
VASP energy: -22.6 eV/cell

---

[12]
First-principles (PBE) data for CdCuHRh2 after structural relaxation, as listed in the Alexandria database.

abc: 3.9980 3.9980 3.9302
angles: 90.00 90.00 90.00
Fractional positions:
Cd: 0.0000 0.0000 0.0000
Cu: 0.5000 0.5000 0.0000
H: 0.5000 0.5000 0.5000
Rh: 0.0000 0.5000 0.5000
Rh: 0.5000 0.0000 0.5000

Values from the calculation:
SG: P4/mmm, No. 123
M_tot: 0.00 Bohr magnetons per cell
offset from the most stable computed form: 0 meV per atom
VASP energy: -23.1 eV/cell